Arrangement i

Below is an optimized crystal structure of KBa2LiPt, with properties calculated at the PBE-GGA level.

The space group is P4/mmm (No. 123) and the conventional cell measures 6.1830, 6.1830 and 6.3561 Å, with angles of 90.00, 90.00 and 90.00 degrees. The asymmetric unit holds K at (0.0000, 0.0000, 0.0000), Ba at (0.0000, 0.5000, 0.5000), Li at (0.5000, 0.5000, 0.0000) and Pt at (0.0000, 0.0000, 0.5000).

For the calculated volume, the calculation gives 243.0 Å³ per cell.

Arrangement ii

Below is an optimized crystal structure of KBa2LiPt, with properties calculated at the PBE-GGA level.

The space group is P4/mmm (No. 123) and the conventional cell measures 6.2734, 6.2734 and 5.4879 Å, with angles of 90.00, 90.00 and 90.00 degrees. The asymmetric unit holds K at (0.0000, 0.0000, 0.0000), Ba at (0.0000, 0.5000, 0.5000), Li at (0.5000, 0.5000, 0.0000) and Pt at (0.5000, 0.5000, 0.5000).

For the calculated volume, the calculation gives 216.0 Å³ per cell.

Which is the most stable structure? arrangement ii is the most stable.